1.
## Rb2NiIrF (PBEsol)

Data for a relaxed Rb2NiIrF crystal.

a b c (Å): 6.1640 6.1640 4.3524
angles (deg): 90.00 90.00 90.00
Closest atoms and distances in Å follow each position.
Atoms (fractional coordinates):
1 Rb 0.0000 0.5000 0.0000  2 Ir 3.08
2 Rb 0.5000 0.0000 0.0000  2 Ir 3.08
3 Ni 0.0000 0.0000 0.5000  2 Ir 2.18
4 Ir 0.0000 0.0000 0.0000  2 Ni 2.18
5 F 0.5000 0.5000 0.5000  8 Rb 3.77

Summary:
Energy relative to the elements, uncorrected ... 235 meV per atom

2.
## IrOsO2F (PBEsol)

Data for a relaxed IrOsO2F crystal.

a b c (Å): 3.6515 3.6515 5.0802
angles (deg): 90.00 90.00 90.00
Closest atoms and distances in Å follow each position.
Atoms (fractional coordinates):
1 Ir 0.0000 0.0000 0.0000  2 Os 2.54, 4 F 2.58
2 Os 0.0000 0.0000 0.5000  4 O 1.83
3 O 0.0000 0.5000 0.5000  2 Os 1.83
4 O 0.5000 0.0000 0.5000  2 Os 1.83
5 F 0.5000 0.5000 0.0000  4 Ir 2.58

Summary:
Energy relative to the elements, uncorrected ... -69 meV per atom

3.
## IrOsO2F (PBEsol)

Data for a relaxed IrOsO2F crystal.

a b c (Å): 3.6392 3.6392 5.6117
angles (deg): 90.00 90.00 90.00
Closest atoms and distances in Å follow each position.
Atoms (fractional coordinates):
1 Ir 0.0000 0.0000 0.0000  4 F 2.57
2 Os 0.5000 0.5000 0.5000  4 O 1.82
3 O 0.0000 0.5000 0.5000  2 Os 1.82
4 O 0.5000 0.0000 0.5000  2 Os 1.82
5 F 0.5000 0.5000 0.0000  4 Ir 2.57, 2 Os 2.81

Summary:
Energy relative to the elements, uncorrected ... 466 meV per atom

4.
## IrSOF2 (PBEsol)

Data for a relaxed IrSOF2 crystal.

a b c (Å): 4.2763 4.2763 3.6911
angles (deg): 90.00 90.00 90.00
Closest atoms and distances in Å follow each position.
Atoms (fractional coordinates):
1 Ir 0.0000 0.0000 0.0000  2 O 1.85
2 S 0.5000 0.5000 0.5000  8 F 2.82, 4 O 3.02
3 O 0.0000 0.0000 0.5000  2 Ir 1.85
4 F 0.0000 0.5000 0.0000  2 Ir 2.14
5 F 0.5000 0.0000 0.0000  2 Ir 2.14

Summary:
Energy relative to the elements, uncorrected ... -112 meV per atom

5.
## SiIrO2F (PBEsol)

Data for a relaxed SiIrO2F crystal.

a b c (Å): 3.8794 3.8794 4.2168
angles (deg): 90.00 90.00 90.00
Closest atoms and distances in Å follow each position.
Atoms (fractional coordinates):
1 Si 0.0000 0.0000 0.0000  4 F 2.74, 8 O 2.86
2 Ir 0.5000 0.5000 0.5000  4 O 1.94, 2 F 2.11
3 O 0.0000 0.5000 0.5000  2 Ir 1.94
4 O 0.5000 0.0000 0.5000  2 Ir 1.94
5 F 0.5000 0.5000 0.0000  2 Ir 2.11

Summary:
Energy relative to the elements, uncorrected ... -152 meV per atom

6.
## SnIr2OF (PBEsol)

Data for a relaxed SnIr2OF crystal.

a b c (Å): 4.9461 4.9461 4.1235
angles (deg): 90.00 90.00 90.00
Closest atoms and distances in Å follow each position.
Atoms (fractional coordinates):
1 Sn 0.0000 0.0000 0.0000  2 F 2.06
2 Ir 0.0000 0.5000 0.0000  2 Sn 2.47
3 Ir 0.5000 0.0000 0.0000  2 Sn 2.47
4 O 0.5000 0.5000 0.5000  8 Ir 3.22, 4 F 3.50
5 F 0.0000 0.0000 0.5000  2 Sn 2.06

Summary:
Energy relative to the elements, uncorrected ... 1550 meV per atom

7.
## SrIrO2F (PBEsol)

Data for a relaxed SrIrO2F crystal.

a b c (Å): 4.5222 4.5222 4.3528
angles (deg): 90.00 90.00 90.00
Closest atoms and distances in Å follow each position.
Atoms (fractional coordinates):
1 Sr 0.0000 0.0000 0.0000  2 F 2.18, 4 O 2.26
2 Ir 0.5000 0.5000 0.5000  8 O 3.14, 4 F 3.20
3 O 0.0000 0.5000 0.0000  2 Sr 2.26
4 O 0.5000 0.0000 0.0000  2 Sr 2.26
5 F 0.0000 0.0000 0.5000  2 Sr 2.18

Summary:
Energy relative to the elements, uncorrected ... 235 meV per atom

8.
## TlIrO2F (PBEsol)

Data for a relaxed TlIrO2F crystal.

a b c (Å): 4.2277 4.2277 4.2459
angles (deg): 90.00 90.00 90.00
Closest atoms and distances in Å follow each position.
Atoms (fractional coordinates):
1 Tl 0.0000 0.0000 0.0000  4 O 2.11, 2 F 2.12
2 Ir 0.5000 0.5000 0.5000  4 F 2.99, 8 O 3.00
3 O 0.0000 0.5000 0.0000  2 Tl 2.11
4 O 0.5000 0.0000 0.0000  2 Tl 2.11
5 F 0.0000 0.0000 0.5000  2 Tl 2.12

Summary:
Energy relative to the elements, uncorrected ... 719 meV per atom

For each record above, in turn, the calculated D(E_F) values are 1.48 0.85 1.61 0.58 0.95 1.00 1.54 1.44 states/eV/atom.